Compound: AcSmLuPb
Source: Alexandria
Functional: GGA-PBE
Structure: optimized geometry

Summary:
For the formation energy, the calculation gives -0.0349 eV/atom. The calculated volume comes out at 125.7 Å³/cell. Its total energy is -4.2992 eV per atom.

Cell and atoms, written as extended XYZ:
```
4
Lattice="0.000 3.976 3.976 3.976 0.000 3.976 3.976 3.976 0.000" Properties=species:S:1:pos:R:3 pbc="T T T"
Ac 0.000 0.000 0.000
Sm 5.964 5.964 5.964
Lu 1.988 1.988 1.988
Pb 3.976 3.976 3.976
```

Compound: ScPaFeMo
Source: Alexandria
Functional: GGA-PBE
Structure: optimized geometry

Summary:
For the formation energy, the calculation gives -0.0125 eV/atom. The calculated volume comes out at 71.9 Å³/cell. Its total energy is -8.7929 eV per atom.

Cell and atoms, written as extended XYZ:
```
4
Lattice="0.000 3.300 3.300 3.300 0.000 3.300 3.300 3.300 0.000" Properties=species:S:1:pos:R:3 pbc="T T T"
Sc 0.000 0.000 0.000
Pa 3.300 3.300 3.300
Fe 1.650 1.650 1.650
Mo 4.951 4.951 4.951
```